5
Lattice="5.0634 0.0000 0.0000 0.0000 5.0634 0.0000 0.0000 0.0000 5.0442" Properties=species:S:1:pos:R:3 comment="ScVAsSe2, relaxed, DFT GGA-PBE" e_above_lowest_polymorph_mev_per_atom=609 n_ef_per_ev_cell=6.24 spacegroup="P4/mmm, No. 123" formation_energy_uncorrected_ev_per_atom=0.366 dft_energy_ev_per_cell=-25.2 pbc="T T T"
Sc 0.0000 0.0000 0.0000
V 2.5317 2.5317 2.5221
As 0.0000 0.0000 2.5221
Se 0.0000 2.5317 0.0000
Se 2.5317 0.0000 0.0000